# 1
A plane-wave DFT calculation with GGA-PBE was carried out for a relaxed SiSnRu3 crystal.

Unit cell a=4.397 b=4.397 c=4.397 alpha=90.00 beta=90.00 gamma=90.00
Atoms (fractional coordinates):
Ru 0.000 0.000 0.500
Ru 0.500 0.000 0.000
Sn 0.500 0.500 0.500
Ru 0.000 0.500 0.000
Si 0.000 0.000 0.000

***

# 2
A plane-wave DFT calculation with GGA-PBE was carried out for a relaxed SiSn2Ru crystal.

Unit cell a=6.046 b=6.046 c=7.394 alpha=65.87 beta=65.87 gamma=90.00
Atoms (fractional coordinates):
Sn 0.875 0.884 0.750
Sn 0.116 0.625 0.250
Sn 0.375 0.366 0.750
Si 0.250 0.750 0.500
Ru 0.750 0.250 0.500
Ru 0.000 0.000 0.000
Si 0.500 0.500 0.000
Sn 0.634 0.125 0.250

***

Number 1: ΔE_f (raw) 0.362 eV/atom, total magnetization 0.0 Bohr magnetons per cell. Number 2: ΔE_f (raw) 0.585 eV/atom, total magnetization 0.0 Bohr magnetons per cell.